# PBE-GGA Ca2GeIrN, optimized geometry
# Raw total energy (eV per atom): -5.71
# Raw formation energy (meV/atom): -549
# D(E_F) (states/eV per cell): 3.34
data_Ca2GeIrN
_chemical_formula_sum 'Ca2 Ge1 Ir1 N1'
_cell_length_a 5.0664
_cell_length_b 5.0664
_cell_length_c 3.7983
_cell_angle_alpha 90.00
_cell_angle_beta 90.00
_cell_angle_gamma 90.00
_symmetry_space_group_name_H-M 'P 4/m m m'
_symmetry_Int_Tables_number 123
_symmetry_space_group_name_Hall '-P 4 2'
loop_
_atom_site_label
_atom_site_type_symbol
_atom_site_fract_x
_atom_site_fract_y
_atom_site_fract_z
_atom_site_occupancy
Ca1 Ca 0.0000 0.5000 0.0000 1
Ge1 Ge 0.0000 0.0000 0.5000 1
Ir1 Ir 0.5000 0.5000 0.5000 1
N1 N 0.5000 0.5000 0.0000 1